(1)
A relaxed AlPd3Au crystal, computed with PBE.

Computed properties:
ΔE to the lowest computed polymorph: 0.0 meV/atom
energy of formation: -444 meV/atom
space-group type: C2/m, No. 12

Unit cell a=5.052 b=5.052 c=8.233 alpha=100.28 beta=100.28 gamma=49.60
Element x y z (fractional)
Al 0.077 0.077 0.346
Al 0.923 0.923 0.654
Pd 0.155 0.155 0.064
Pd 0.208 0.208 0.741
Pd 0.352 0.352 0.478
Pd 0.648 0.648 0.522
Pd 0.792 0.792 0.259
Pd 0.845 0.845 0.936
Au 0.469 0.469 0.165
Au 0.531 0.531 0.835


(2)
A relaxed InSbTe crystal, computed with PBE.

Computed properties:
ΔE to the lowest computed polymorph: 89.2 meV/atom
uncorrected formation energy: -10 meV per atom
space-group type: P3m1, No. 156

Unit cell a=4.390 b=4.390 c=5.431 alpha=90.00 beta=90.00 gamma=120.00
Element x y z (fractional)
In 0.000 0.000 0.000
Sb 0.667 0.333 0.305
Te 0.333 0.667 0.671


(3)
A relaxed K3YCr crystal, computed with PBE.

Computed properties:
ΔE to the lowest computed polymorph: 0.0 meV/atom
energy of formation: 1114 meV/atom
space-group type: Pm-3m, No. 221

Unit cell a=6.519 b=6.519 c=6.519 alpha=90.00 beta=90.00 gamma=90.00
Element x y z (fractional)
K 0.000 0.000 0.500
K 0.000 0.500 0.000
K 0.500 0.000 0.000
Y 0.500 0.500 0.500
Cr 0.000 0.000 0.000


(4)
A relaxed NbCdCo2 crystal, computed with PBE.

Computed properties:
energy of formation: 21 meV/atom
space-group type: P4/mmm, No. 123

Unit cell a=3.093 b=3.093 c=6.236 alpha=90.00 beta=90.00 gamma=90.00
Element x y z (fractional)
Nb 0.000 0.000 0.000
Cd 0.000 0.000 0.500
Co 0.500 0.500 0.216
Co 0.500 0.500 0.784


| no. | magnetization (μB/f.u.) |
| --- | --- |
| 1 | 0.0 |
| 2 | 0.0 |
| 3 | 6.4 |
| 4 | 0.5 |